Record 1
# MnFeRe2, relaxed, DFT PBEsol
data_MnFeRe2
_space_group_name_H-M_alt 'I m m m'
_space_group_IT_number 71
_space_group_name_Hall '-I 2 2'
_cell_length_a 3.122
_cell_length_b 4.105
_cell_length_c 8.086
_cell_angle_alpha 90.00
_cell_angle_beta 90.00
_cell_angle_gamma 90.00
loop_
_atom_site_label
_atom_site_type_symbol
_atom_site_fract_x
_atom_site_fract_y
_atom_site_fract_z
Mn1 Mn 0.000 0.000 0.000
Fe1 Fe 0.000 0.000 0.500
Re1 Re 0.000 0.500 0.251
# * E_tot: -11.177 eV/atom


Record 2
# MnFe2Re, relaxed, DFT PBEsol
data_MnFe2Re
_space_group_name_H-M_alt 'C m m m'
_space_group_IT_number 65
_space_group_name_Hall '-C 2 2'
_cell_length_a 5.042
_cell_length_b 7.159
_cell_length_c 2.547
_cell_angle_alpha 90.00
_cell_angle_beta 90.00
_cell_angle_gamma 90.00
loop_
_atom_site_label
_atom_site_type_symbol
_atom_site_fract_x
_atom_site_fract_y
_atom_site_fract_z
Mn1 Mn 0.000 0.000 0.000
Fe1 Fe 0.250 0.250 0.500
Re1 Re 0.000 0.500 0.000
# * energy above the lowest structure with this stoichiometry: 0 meV/atom


Record 3
# MnFe2Re, relaxed, DFT PBEsol
data_MnFe2Re
_space_group_name_H-M_alt 'R -3 m'
_space_group_IT_number 166
_space_group_name_Hall '-R 3 2"'
_cell_length_a 2.5624
_cell_length_b 2.5624
_cell_length_c 24.3609
_cell_angle_alpha 90.00
_cell_angle_beta 90.00
_cell_angle_gamma 120.00
loop_
_atom_site_label
_atom_site_type_symbol
_atom_site_fract_x
_atom_site_fract_y
_atom_site_fract_z
Mn1 Mn 0.0000 0.0000 0.0000
Fe1 Fe 0.0000 0.0000 0.2548
Re1 Re 0.0000 0.0000 0.5000
# * energy above the lowest structure with this stoichiometry: 138 meV/atom


Record 4
# MnFeRh2, relaxed, DFT PBEsol
data_MnFeRh2
_space_group_name_H-M_alt 'P m m 2'
_space_group_IT_number 25
_cell_length_a 2.601
_cell_length_b 3.646
_cell_length_c 5.209
_cell_angle_alpha 90.00
_cell_angle_beta 90.00
_cell_angle_gamma 90.00
loop_
_space_group_symop_operation_xyz
'x,y,z'
'-x,-y,z'
'-x,y,z'
'x,-y,z'
loop_
_atom_site_label
_atom_site_type_symbol
_atom_site_fract_x
_atom_site_fract_y
_atom_site_fract_z
Mn1 Mn 0.000 0.000 0.000
Fe1 Fe 0.500 0.500 0.762
Rh1 Rh 0.000 0.000 0.519
Rh2 Rh 0.500 0.500 0.242
# * E_tot: -8.738 eV/atom


Record 5
# MnFeRu2, relaxed, DFT PBEsol
data_MnFeRu2
_space_group_name_H-M_alt 'A m m 2'
_space_group_IT_number 38
_cell_length_a 3.894
_cell_length_b 2.592
_cell_length_c 9.326
_cell_angle_alpha 90.00
_cell_angle_beta 90.00
_cell_angle_gamma 90.00
loop_
_space_group_symop_operation_xyz
'x,y,z'
'-x,-y,z'
'-x,y,z'
'x,-y,z'
'x,y+1/2,z+1/2'
'-x,-y+1/2,z+1/2'
'-x,y+1/2,z+1/2'
'x,-y+1/2,z+1/2'
loop_
_atom_site_label
_atom_site_type_symbol
_atom_site_fract_x
_atom_site_fract_y
_atom_site_fract_z
Mn1 Mn 0.000 0.000 0.000
Fe1 Fe 0.500 0.000 0.876
Ru1 Ru 0.000 0.000 0.270
Ru2 Ru 0.500 0.000 0.608
# * E_tot: -9.709 eV/atom


Record 6
# MnFeRu2, relaxed, DFT PBEsol
data_MnFeRu2
_space_group_name_H-M_alt 'P m m m'
_space_group_IT_number 47
_cell_length_a 2.841
_cell_length_b 4.162
_cell_length_c 4.307
_cell_angle_alpha 90.00
_cell_angle_beta 90.00
_cell_angle_gamma 90.00
loop_
_space_group_symop_operation_xyz
'x,y,z'
'-x,-y,-z'
'-x,-y,z'
'x,y,-z'
'x,-y,-z'
'-x,y,z'
'-x,y,-z'
'x,-y,z'
loop_
_atom_site_label
_atom_site_type_symbol
_atom_site_fract_x
_atom_site_fract_y
_atom_site_fract_z
Mn1 Mn 0.000 0.000 0.000
Fe1 Fe 0.500 0.000 0.500
Ru1 Ru 0.000 0.500 0.500
Ru2 Ru 0.500 0.500 0.000
# * E_tot: -9.435 eV/atom


Record 7
# MnFe2Ru, relaxed, DFT PBEsol
data_MnFe2Ru
_space_group_name_H-M_alt 'P 4 m m'
_space_group_IT_number 99
_cell_length_a 2.831
_cell_length_b 2.831
_cell_length_c 5.823
_cell_angle_alpha 90.00
_cell_angle_beta 90.00
_cell_angle_gamma 90.00
loop_
_space_group_symop_operation_xyz
'x,y,z'
'-y,x,z'
'-x,-y,z'
'y,-x,z'
'-x,y,z'
'y,x,z'
'x,-y,z'
'-y,-x,z'
loop_
_atom_site_label
_atom_site_type_symbol
_atom_site_fract_x
_atom_site_fract_y
_atom_site_fract_z
Mn1 Mn 0.000 0.000 0.000
Fe1 Fe 0.000 0.000 0.530
Fe2 Fe 0.500 0.500 0.759
Ru1 Ru 0.500 0.500 0.257
# * E_tot: -9.336 eV/atom


Record 8
# MnFe2Ru, relaxed, DFT PBEsol
data_MnFe2Ru
_space_group_name_H-M_alt 'I 4/m m m'
_space_group_IT_number 139
_space_group_name_Hall '-I 4 2'
_cell_length_a 3.536
_cell_length_b 3.536
_cell_length_c 7.181
_cell_angle_alpha 90.00
_cell_angle_beta 90.00
_cell_angle_gamma 90.00
loop_
_atom_site_label
_atom_site_type_symbol
_atom_site_fract_x
_atom_site_fract_y
_atom_site_fract_z
Mn1 Mn 0.000 0.000 0.000
Fe1 Fe 0.000 0.500 0.250
Ru1 Ru 0.000 0.000 0.500
# * E_tot: -9.404 eV/atom


Record 9
# MnFe2Ru, relaxed, DFT PBEsol
data_MnFe2Ru
_space_group_name_H-M_alt 'C 1 2/m 1'
_space_group_IT_number 12
_cell_length_a 4.933
_cell_length_b 8.167
_cell_length_c 2.504
_cell_angle_alpha 90.00
_cell_angle_beta 111.13
_cell_angle_gamma 90.00
loop_
_space_group_symop_operation_xyz
'x,y,z'
'-x,-y,-z'
'-x,y,-z'
'x,-y,z'
'x+1/2,y+1/2,z'
'-x+1/2,-y+1/2,-z'
'-x+1/2,y+1/2,-z'
'x+1/2,-y+1/2,z'
loop_
_atom_site_label
_atom_site_type_symbol
_atom_site_fract_x
_atom_site_fract_y
_atom_site_fract_z
Mn1 Mn 0.000 0.000 0.000
Fe1 Fe 0.250 0.250 0.500
Ru1 Ru 0.000 0.500 0.000
# * E_tot: -9.242 eV/atom


Record 10
# MnFeRu, relaxed, DFT PBEsol
data_MnFeRu
_space_group_name_H-M_alt 'P -6 m 2'
_space_group_IT_number 187
_space_group_name_Hall 'P -6 2'
_cell_length_a 3.9155
_cell_length_b 3.9155
_cell_length_c 2.5465
_cell_angle_alpha 90.00
_cell_angle_beta 90.00
_cell_angle_gamma 120.00
loop_
_atom_site_label
_atom_site_type_symbol
_atom_site_fract_x
_atom_site_fract_y
_atom_site_fract_z
Mn1 Mn 0.0000 0.0000 0.0000
Fe1 Fe 0.6667 0.3333 0.0000
Ru1 Ru 0.3333 0.6667 0.5000
# * energy above the lowest structure with this stoichiometry: 0 meV/atom


Record 11
# MnFe2Ru, relaxed, DFT PBEsol
data_MnFe2Ru
_space_group_name_H-M_alt 'P m m m'
_space_group_IT_number 47
_cell_length_a 2.850
_cell_length_b 4.048
_cell_length_c 4.071
_cell_angle_alpha 90.00
_cell_angle_beta 90.00
_cell_angle_gamma 90.00
loop_
_space_group_symop_operation_xyz
'x,y,z'
'-x,-y,-z'
'-x,-y,z'
'x,y,-z'
'x,-y,-z'
'-x,y,z'
'-x,y,-z'
'x,-y,z'
loop_
_atom_site_label
_atom_site_type_symbol
_atom_site_fract_x
_atom_site_fract_y
_atom_site_fract_z
Mn1 Mn 0.000 0.000 0.000
Fe1 Fe 0.000 0.500 0.500
Fe2 Fe 0.500 0.000 0.500
Ru1 Ru 0.500 0.500 0.000
# * E_tot: -9.280 eV/atom


Record 12
# MnFeRu2, relaxed, DFT PBEsol
data_MnFeRu2
_space_group_name_H-M_alt 'P 4/m m m'
_space_group_IT_number 123
_space_group_name_Hall '-P 4 2'
_cell_length_a 2.923
_cell_length_b 2.923
_cell_length_c 5.897
_cell_angle_alpha 90.00
_cell_angle_beta 90.00
_cell_angle_gamma 90.00
loop_
_atom_site_label
_atom_site_type_symbol
_atom_site_fract_x
_atom_site_fract_y
_atom_site_fract_z
Mn1 Mn 0.000 0.000 0.000
Fe1 Fe 0.000 0.000 0.500
Ru1 Ru 0.500 0.500 0.250
# * E_tot: -9.581 eV/atom


Across the entries above, density of states at the Fermi level takes the values 0.962 1.000 1.456 1.432 1.102 1.231 1.023 0.909 1.025 1.177 1.168 0.937 states/eV/atom, respectively.